DFT (PBE) results for a relaxed Ta2CrRe crystal.

Calculated values
Energy of formation in eV/atom: -0.008
DOS at the Fermi energy in states/eV/f.u.: 1.81
Magnetization in μB/atom: 0.0000

a b c (Å): 2.7789 2.7789 8.7399
angles (deg): 90.00 90.00 110.60
With the nearest neighbours (Å) after each atom.
Element x y z (fractional)
Re 0.5000 0.5000 0.7333  2 Cr 2.53, 2 Ta 2.75, 4 Re 2.78
Ta 0.0000 0.0000 0.9911  2 Re 2.75, 6 Ta 2.78-2.89
Ta 0.5000 0.5000 0.2679  2 Cr 2.63, 6 Ta 2.78-2.89
Cr 0.0000 0.0000 0.5078  2 Re 2.53, 2 Ta 2.63, 4 Cr 2.78


DFT (PBE) results for a relaxed Pm2SmTl crystal.

Calculated values
Energy above the lowest structure with this stoichiometry in meV/atom: 0
Energy of formation in eV/atom: -0.200
DOS at the Fermi energy in states/eV/f.u.: 6.26
Magnetization in μB/atom: 0.1713

a b c (Å): 4.9694 4.9528 4.9528
angles (deg): 90.00 90.00 90.00
With the nearest neighbours (Å) after each atom.
Element x y z (fractional)
Tl 0.5000 0.0000 0.0000  4 Sm 3.50, 8 Pm 3.51
Pm 0.0000 0.5000 0.0000  4 Pm 3.50, 4 Tl 3.51, 4 Sm 3.51
Pm 0.0000 0.0000 0.5000  4 Pm 3.50, 4 Tl 3.51, 4 Sm 3.51
Sm 0.5000 0.5000 0.5000  4 Tl 3.50, 8 Pm 3.51


DFT (PBE) results for a relaxed HfMn2ZnRh crystal.

Calculated values
Energy of formation in eV/atom: 0.920
DOS at the Fermi energy in states/eV/f.u.: 6.84
Magnetization in μB/atom: 1.3009

a b c (Å): 4.3854 4.9470 4.3854
angles (deg): 90.00 90.00 90.00
With the nearest neighbours (Å) after each atom.
Element x y z (fractional)
Mn 0.5000 0.0000 0.0000  2 Zn 2.19
Mn 0.0000 0.0000 0.5000  2 Zn 2.19
Zn 0.0000 0.0000 0.0000  4 Mn 2.19
Rh 0.5000 0.5000 0.5000  4 Hf 3.10, 8 Mn 3.31
Hf 0.0000 0.5000 0.0000  2 Zn 2.47


DFT (PBE) results for a relaxed KCaCd2 crystal.

Calculated values
Energy above the lowest structure with this stoichiometry in meV/atom: 137
Energy of formation in eV/atom: -0.007
DOS at the Fermi energy in states/eV/f.u.: 4.14
Magnetization in μB/atom: 0.0000

a b c (Å): 10.4208 10.4208 10.4208
angles (deg): 22.43 22.43 22.43
With the nearest neighbours (Å) after each atom.
Element x y z (fractional)
Ca 0.7500 0.7500 0.7500  6 Cd 3.28
Cd 0.4919 0.4919 0.4919  3 Ca 3.28, 3 K 3.64
Cd 0.0081 0.0081 0.0081  3 Ca 3.28, 3 K 3.64
K 0.2500 0.2500 0.2500  6 Cd 3.64, 6 K 4.05


DFT (PBE) results for a relaxed PrPaTi crystal.

Calculated values
Energy of formation in eV/atom: 0.299
DOS at the Fermi energy in states/eV/f.u.: 4.79
Magnetization in μB/atom: 0.0000

a b c (Å): 3.2497 3.2302 16.5328
angles (deg): 90.00 90.00 120.20
With the nearest neighbours (Å) after each atom.
Element x y z (fractional)
Pr 0.6212 0.2424 0.6825  6 Pr 3.23-3.25, 3 Ti 3.35-3.44, 3 Pa 3.54-3.57
Pr 0.6212 0.2424 0.3175  6 Pr 3.23-3.25, 3 Ti 3.35-3.44, 3 Pa 3.54-3.57
Ti 0.2668 0.5337 0.1475  3 Pa 3.06-3.10, 6 Ti 3.23-3.25, 2 Pr 3.35
Ti 0.2668 0.5337 0.8525  3 Pa 3.06-3.10, 6 Ti 3.23-3.25, 2 Pr 3.35
Pa 0.2800 0.5600 0.5000  6 Pa 3.23-3.25, 6 Pr 3.54-3.57
Pa 0.6105 0.2211 0.0000  6 Ti 3.06-3.10, 6 Pa 3.23-3.25


DFT (PBE) results for a relaxed SiTcAg2 crystal.

Calculated values
DOS at the Fermi energy in states/eV/f.u.: 3.51
Formation energy (no corrections) in meV/atom: 149.2
Magnetization in μB/atom: 0.0002

a b c (Å): 3.1299 3.0975 6.6619
angles (deg): 90.00 90.00 90.00
With the nearest neighbours (Å) after each atom.
Element x y z (fractional)
Ag 0.0000 0.0000 0.9870  8 Ag 2.88-3.13, 4 Tc 2.91, 1 Si 2.93
Ag 0.5000 0.5000 0.2654  8 Ag 2.88-3.13, 4 Si 2.89, 1 Tc 2.90
Tc 0.5000 0.5000 0.7008  4 Si 2.43
Si 0.0000 0.0000 0.5468  4 Tc 2.43


DFT (PBE) results for a relaxed PaNiPd crystal.

Calculated values
Energy above the lowest structure with this stoichiometry in meV/atom: 0
Energy of formation in eV/atom: -0.525
DOS at the Fermi energy in states/eV/f.u.: 2.91
Magnetization in μB/atom: 0.0000

a b c (Å): 5.2346 6.2136 7.0809
angles (deg): 111.68 90.00 90.00
With the nearest neighbours (Å) after each atom.
Element x y z (fractional)
Pa 0.6257 0.3049 0.6192  5 Ni 2.68-2.99, 2 Pd 2.91-2.94
Pa 0.8743 0.3049 0.1192  5 Ni 2.68-2.99, 2 Pd 2.91-2.94
Pa 0.1257 0.6951 0.8808  5 Ni 2.68-2.99, 2 Pd 2.91-2.94
Pa 0.3743 0.6951 0.3808  5 Ni 2.68-2.99, 2 Pd 2.91-2.94
Pd 0.0734 0.0734 0.7104  3 Ni 2.59-2.75, 3 Pd 2.88-2.89
Pd 0.4266 0.0734 0.2104  3 Ni 2.59-2.75, 3 Pd 2.88-2.89
Pd 0.9266 0.9266 0.2896  3 Ni 2.59-2.75, 3 Pd 2.88-2.89
Pd 0.5734 0.9266 0.7896  3 Ni 2.59-2.75, 3 Pd 2.88-2.89
Ni 0.6471 0.6518 0.9980  1 Ni 2.44, 2 Pd 2.59-2.67, 1 Pa 2.68
Ni 0.1471 0.3482 0.5020  1 Ni 2.44, 2 Pd 2.59-2.67, 1 Pa 2.68
Ni 0.3529 0.3482 0.0020  1 Ni 2.44, 2 Pd 2.59-2.67, 1 Pa 2.68
Ni 0.8529 0.6518 0.4980  1 Ni 2.44, 2 Pd 2.59-2.67, 1 Pa 2.68


DFT (PBE) results for a relaxed AcLuP2 crystal.

Calculated values
Energy above the lowest structure with this stoichiometry in meV/atom: 0
Energy of formation in eV/atom: -1.462
DOS at the Fermi energy in states/eV/f.u.: 0.45
Magnetization in μB/atom: 0.0000

a b c (Å): 4.1860 4.1860 7.2451
angles (deg): 73.21 73.21 60.00
With the nearest neighbours (Å) after each atom.
Element x y z (fractional)
P 0.7403 0.7403 0.7791  3 Lu 2.85, 3 Ac 3.08
P 0.2597 0.2597 0.2209  3 Lu 2.85, 3 Ac 3.08
Lu 0.0000 0.0000 0.0000  6 P 2.85
Ac 0.5000 0.5000 0.5000  6 P 3.08


DFT (PBE) results for a relaxed BeTl2FeCu crystal.

Calculated values
Energy above the lowest structure with this stoichiometry in meV/atom: 115
Energy of formation in eV/atom: 1.081
DOS at the Fermi energy in states/eV/f.u.: 5.00
Magnetization in μB/atom: 0.4049

a b c (Å): 5.1165 4.5617 5.1165
angles (deg): 90.00 90.00 90.00
With the nearest neighbours (Å) after each atom.
Element x y z (fractional)
Tl 0.0000 0.0000 0.5000  2 Fe 2.56
Tl 0.5000 0.0000 0.0000  2 Fe 2.56
Fe 0.0000 0.0000 0.0000  2 Cu 2.28
Be 0.5000 0.5000 0.5000  8 Tl 3.43, 4 Cu 3.62
Cu 0.0000 0.5000 0.0000  2 Fe 2.28


DFT (PBE) results for a relaxed PN3Cl crystal.

Calculated values
DOS at the Fermi energy in states/eV/f.u.: 3.20
Formation energy (no corrections) in meV/atom: 2955.6
Magnetization in μB/atom: 0.0000

a b c (Å): 3.7128 3.7128 3.7128
angles (deg): 90.00 90.00 90.00
With the nearest neighbours (Å) after each atom.
Element x y z (fractional)
N 0.0000 0.0000 0.5000  2 Cl 1.86
N 0.5000 0.0000 0.0000  2 Cl 1.86
N 0.0000 0.5000 0.0000  2 Cl 1.86
P 0.5000 0.5000 0.5000  12 N 2.63
Cl 0.0000 0.0000 0.0000  6 N 1.86


DFT (PBE) results for a relaxed Co2RuPt2 crystal.

Calculated values
Energy of formation in eV/atom: 0.259
DOS at the Fermi energy in states/eV/f.u.: 5.19
Magnetization in μB/atom: 1.2019

a b c (Å): 7.2763 7.2763 2.7080
angles (deg): 90.00 90.00 90.00
With the nearest neighbours (Å) after each atom.
Element x y z (fractional)
Co 0.8331 0.3331 0.5000  6 Pt 2.47-2.58, 2 Co 2.71
Co 0.3331 0.1669 0.5000  6 Pt 2.47-2.58, 2 Co 2.71
Co 0.1669 0.6669 0.5000  6 Pt 2.47-2.58, 2 Co 2.71
Co 0.6669 0.8331 0.5000  6 Pt 2.47-2.58, 2 Co 2.71
Pt 0.8677 0.6323 0.0000  6 Co 2.47-2.58, 3 Pt 2.71-2.72
Pt 0.6323 0.1323 0.0000  6 Co 2.47-2.58, 3 Pt 2.71-2.72
Pt 0.1323 0.3677 0.0000  6 Co 2.47-2.58, 3 Pt 2.71-2.72
Pt 0.3677 0.8677 0.0000  6 Co 2.47-2.58, 3 Pt 2.71-2.72
Ru 0.0000 0.0000 0.0000  2 Ru 2.71, 4 Pt 2.84, 8 Co 3.03
Ru 0.5000 0.5000 0.0000  2 Ru 2.71, 4 Pt 2.84, 8 Co 3.03


DFT (PBE) results for a relaxed Nd2ZnGa5 crystal.

Calculated values
Energy of formation in eV/atom: -0.476
DOS at the Fermi energy in states/eV/f.u.: 2.93
Magnetization in μB/atom: 0.0000

a b c (Å): 6.2008 6.2008 6.2008
angles (deg): 89.08 120.54 120.54
With the nearest neighbours (Å) after each atom.
Element x y z (fractional)
Zn 0.0000 0.8428 0.8428  4 Ga 2.83, 4 Nd 3.13
Ga 0.0000 0.2925 0.7546  1 Zn 2.83, 3 Ga 2.84-3.00, 4 Nd 3.10-3.11
Ga 0.4621 0.7546 0.7546  1 Zn 2.83, 3 Ga 2.84-3.00, 4 Nd 3.10-3.11
Ga 0.5379 0.2925 0.2925  1 Zn 2.83, 3 Ga 2.84-3.00, 4 Nd 3.10-3.11
Ga 0.0000 0.7546 0.2925  1 Zn 2.83, 3 Ga 2.84-3.00, 4 Nd 3.10-3.11
Ga 0.0000 0.2365 0.2365  8 Ga 3.00-3.24, 4 Nd 3.09
Nd 0.5000 0.2742 0.7742  10 Ga 3.09-3.11, 2 Zn 3.13
Nd 0.5000 0.7742 0.2742  10 Ga 3.09-3.11, 2 Zn 3.13


Q: Number 12 is which compound?
A: Nd2ZnGa5


Q: DOS at the Fermi energy of number 8 (AcLuP2)?
A: 0.45 states/eV/f.u.


Q: DOS at the Fermi energy of number 10 (PN3Cl)?
A: 3.20 states/eV/f.u.